# 1
Computed, not measured: an optimized crystal structure of HfGeAs2 at the PBE level of DFT.

a = 4.7772 Å, b = 4.7772 Å, c = 4.7772 Å
α = 60.00°, β = 60.00°, γ = 60.00°
Last column: nearest neighbours and their distance in Å.
Fractional coordinates of all 4 atoms:
Ge: 0.5000 0.5000 0.5000  4 As 2.93, 4 Hf 2.93
As: 0.7500 0.7500 0.7500  4 Ge 2.93, 4 As 2.93
As: 0.0000 0.0000 0.0000  4 As 2.93, 4 Hf 2.93
Hf: 0.2500 0.2500 0.2500  4 Ge 2.93, 4 As 2.93

space group: No. 216
total moment: 0.01 μB/f.u.
electronic total energy: -5.825 eV per atom

***

# 2
Computed, not measured: an optimized crystal structure of Hf6GeAs2 at the PBE level of DFT.

a = 7.2609 Å, b = 7.2609 Å, c = 3.8212 Å
α = 90.00°, β = 90.00°, γ = 120.00°
Last column: nearest neighbours and their distance in Å.
Fractional coordinates of all 9 atoms:
Hf: 0.2543 0.0000 0.5000  2 Ge 2.66, 2 As 2.75
Hf: 0.0000 0.2543 0.5000  2 Ge 2.66, 2 As 2.75
Hf: 0.5924 0.0000 0.0000  4 As 2.91, 1 Ge 2.96, 6 Hf 3.11-3.22
Hf: 0.0000 0.5924 0.0000  4 As 2.91, 1 Ge 2.96, 6 Hf 3.11-3.22
Hf: 0.4076 0.4076 0.0000  4 As 2.91, 1 Ge 2.96, 6 Hf 3.11-3.22
Hf: 0.7457 0.7457 0.5000  2 Ge 2.66, 2 As 2.75
Ge: 0.0000 0.0000 0.0000  9 Hf 2.66-2.96
As: 0.3333 0.6667 0.5000  9 Hf 2.75-2.91
As: 0.6667 0.3333 0.5000  9 Hf 2.75-2.91

space group: No. 189
total moment: 0.01 μB/f.u.
electronic total energy: -8.894 eV per atom

***

# 3
Computed, not measured: an optimized crystal structure of HfGeAs at the PBE level of DFT.

a = 4.5164 Å, b = 4.5164 Å, c = 4.5164 Å
α = 60.00°, β = 60.00°, γ = 60.00°
Last column: nearest neighbours and their distance in Å.
Fractional coordinates of all 3 atoms:
Ge: 0.2500 0.2500 0.2500  4 As 2.77
As: 0.0000 0.0000 0.0000  4 Ge 2.77, 4 Hf 2.77
Hf: 0.7500 0.7500 0.7500  4 As 2.77

space group: No. 216
total moment: 0.00 μB/f.u.
electronic total energy: -6.359 eV per atom

***

# 4
Computed, not measured: an optimized crystal structure of HfGeAsO at the PBE level of DFT.

a = 4.2484 Å, b = 4.2484 Å, c = 8.2829 Å
α = 90.00°, β = 90.00°, γ = 90.00°
Last column: nearest neighbours and their distance in Å.
Fractional coordinates of all 8 atoms:
Hf: 0.2500 0.7500 0.5000  4 As 2.64
Hf: 0.7500 0.2500 0.5000  4 As 2.64
O: 0.7500 0.2500 0.0000  4 Ge 2.24
O: 0.2500 0.7500 0.0000  4 Ge 2.24
As: 0.2500 0.2500 0.6893  4 Hf 2.64
As: 0.7500 0.7500 0.3107  4 Hf 2.64
Ge: 0.2500 0.2500 0.0871  4 O 2.24
Ge: 0.7500 0.7500 0.9129  4 O 2.24

energy above the most stable polymorph in this dataset: 831 meV/atom
space group: No. 129
total moment: 0.02 μB/f.u.

***

# 5
Computed, not measured: an optimized crystal structure of HfGeAsO at the PBE level of DFT.

a = 3.5893 Å, b = 3.5893 Å, c = 10.2818 Å
α = 90.00°, β = 90.00°, γ = 90.00°
Last column: nearest neighbours and their distance in Å.
Fractional coordinates of all 8 atoms:
Ge: 0.5000 0.5000 0.5000  4 Ge 2.54
Ge: 0.0000 0.0000 0.5000  4 Ge 2.54
As: 0.5000 0.0000 0.7400  4 Hf 2.93, 4 Ge 3.05, 4 O 3.22
As: 0.0000 0.5000 0.2600  4 Hf 2.93, 4 Ge 3.05, 4 O 3.22
Hf: 0.0000 0.5000 0.8816  4 O 2.17
Hf: 0.5000 0.0000 0.1184  4 O 2.17
O: 0.5000 0.5000 0.0000  4 Hf 2.17
O: 0.0000 0.0000 0.0000  4 Hf 2.17

energy above the most stable polymorph in this dataset: 0 meV/atom
space group: No. 129
total moment: 0.00 μB/f.u.

***

# 6
Computed, not measured: an optimized crystal structure of HfGeAsO at the PBE level of DFT.

a = 4.2715 Å, b = 6.2477 Å, c = 6.0907 Å
α = 90.00°, β = 90.00°, γ = 90.00°
Last column: nearest neighbours and their distance in Å.
Fractional coordinates of all 8 atoms:
Ge: 0.0000 0.3047 0.4546  2 O 2.29
Ge: 0.0000 0.6953 0.9546  2 O 2.29
As: 0.0000 0.8629 0.3673  2 Hf 2.69, 2 Ge 2.72-2.81
As: 0.0000 0.1371 0.8673  2 Hf 2.69, 2 Ge 2.72-2.81
Hf: 0.5000 0.3218 0.0558  2 O 1.98-2.03
Hf: 0.5000 0.6782 0.5558  2 O 1.98-2.03
O: 0.5000 0.4132 0.3762  2 Hf 1.98-2.03
O: 0.5000 0.5868 0.8762  2 Hf 1.98-2.03

energy above the most stable polymorph in this dataset: 418 meV/atom
space group: No. 26
total moment: 0.00 μB/f.u.

***

# 7
Computed, not measured: an optimized crystal structure of HfGeAsO at the PBE level of DFT.

a = 3.6560 Å, b = 7.2643 Å, c = 5.5187 Å
α = 90.00°, β = 90.00°, γ = 90.00°
Last column: nearest neighbours and their distance in Å.
Fractional coordinates of all 8 atoms:
As: 0.0000 0.2828 0.4324  2 Ge 2.49, 2 Hf 2.75-2.77
As: 0.0000 0.7172 0.9324  2 Ge 2.49, 2 Hf 2.75-2.77
Hf: 0.0000 0.2936 0.9307  2 O 1.96
Hf: 0.0000 0.7064 0.4307  2 O 1.96
O: 0.5000 0.6101 0.4318  2 Hf 1.96
O: 0.5000 0.3899 0.9318  2 Hf 1.96
Ge: 0.5000 0.0501 0.4591  2 As 2.49
Ge: 0.5000 0.9499 0.9591  2 As 2.49

energy above the most stable polymorph in this dataset: 137 meV/atom
space group: No. 26
total moment: 0.00 μB/f.u.

***

# 8
Computed, not measured: an optimized crystal structure of HgGe2As2 at the PBE level of DFT.

a = 4.3052 Å, b = 4.3052 Å, c = 6.1299 Å
α = 90.00°, β = 90.00°, γ = 90.00°
Last column: nearest neighbours and their distance in Å.
Fractional coordinates of all 5 atoms:
As: 0.5000 0.5000 0.7866  1 As 2.62, 4 Ge 2.78
As: 0.5000 0.5000 0.2134  1 As 2.62, 4 Ge 2.78
Ge: 0.5000 0.0000 0.5000  4 As 2.78, 4 Ge 3.04
Ge: 0.0000 0.5000 0.5000  4 As 2.78, 4 Ge 3.04
Hg: 0.0000 0.0000 0.0000  8 As 3.31

space group: No. 123
electronic total energy: -3.464 eV per atom

***

# 9
Computed, not measured: an optimized crystal structure of HgGeAsO at the PBE level of DFT.

a = 3.9617 Å, b = 3.9617 Å, c = 9.8183 Å
α = 90.00°, β = 90.00°, γ = 90.00°
Last column: nearest neighbours and their distance in Å.
Fractional coordinates of all 8 atoms:
Hg: 0.0000 0.0000 0.5000  4 As 2.79, 4 Hg 2.80
Hg: 0.5000 0.5000 0.5000  4 As 2.79, 4 Hg 2.80
Ge: 0.5000 0.0000 0.0933  4 O 2.18
Ge: 0.0000 0.5000 0.9067  4 O 2.18
As: 0.0000 0.5000 0.2994  4 Hg 2.79
As: 0.5000 0.0000 0.7006  4 Hg 2.79
O: 0.5000 0.5000 0.0000  4 Ge 2.18
O: 0.0000 0.0000 0.0000  4 Ge 2.18

energy above the most stable polymorph in this dataset: 9 meV/atom
space group: No. 129

***

# 10
Computed, not measured: an optimized crystal structure of HgGeAsO at the PBE level of DFT.

a = 3.9700 Å, b = 6.5177 Å, c = 6.2826 Å
α = 90.00°, β = 90.00°, γ = 90.00°
Last column: nearest neighbours and their distance in Å.
Fractional coordinates of all 8 atoms:
As: 0.0000 0.6347 0.8484  2 Ge 2.51-2.53, 2 Hg 2.58
As: 0.0000 0.3653 0.3484  2 Ge 2.51-2.53, 2 Hg 2.58
O: 0.5000 0.8217 0.4144  2 Ge 2.08
O: 0.5000 0.1783 0.9144  2 Ge 2.08
Ge: 0.0000 0.7370 0.4629  2 O 2.08
Ge: 0.0000 0.2630 0.9629  2 O 2.08
Hg: 0.5000 0.8184 0.0284  2 O 2.43-2.45, 2 As 2.58
Hg: 0.5000 0.1816 0.5284  2 O 2.43-2.45, 2 As 2.58

energy above the most stable polymorph in this dataset: 0 meV/atom
space group: No. 26

***

# 11
Computed, not measured: an optimized crystal structure of HgGeAsO at the PBE level of DFT.

a = 4.4662 Å, b = 4.4662 Å, c = 8.5745 Å
α = 90.00°, β = 90.00°, γ = 90.00°
Last column: nearest neighbours and their distance in Å.
Fractional coordinates of all 8 atoms:
O: 0.7500 0.2500 0.0000  4 Hg 2.29
O: 0.2500 0.7500 0.0000  4 Hg 2.29
As: 0.7500 0.7500 0.3388  4 Ge 2.63
As: 0.2500 0.2500 0.6612  4 Ge 2.63
Hg: 0.2500 0.2500 0.0595  4 O 2.29
Hg: 0.7500 0.7500 0.9405  4 O 2.29
Ge: 0.7500 0.2500 0.5000  4 As 2.63
Ge: 0.2500 0.7500 0.5000  4 As 2.63

energy above the most stable polymorph in this dataset: 257 meV/atom
space group: No. 129

***

# 12
Computed, not measured: an optimized crystal structure of Hg2Ge2AsP3 at the PBE level of DFT.

a = 6.9272 Å, b = 6.9272 Å, c = 5.8685 Å
α = 114.62°, β = 114.62°, γ = 49.84°
Last column: nearest neighbours and their distance in Å.
Fractional coordinates of all 8 atoms:
As: 0.1516 0.8484 0.0000  2 Ge 2.47, 2 Hg 2.67
Hg: 0.7368 0.0048 0.1295  3 P 2.56-2.59, 1 As 2.67
Hg: 0.9952 0.2632 0.8705  3 P 2.56-2.59, 1 As 2.67
P: 0.5976 0.4024 0.5000  2 Ge 2.37, 2 Hg 2.56
P: 0.3780 0.1223 0.7187  2 Ge 2.38, 2 Hg 2.59
P: 0.8777 0.6220 0.2813  2 Ge 2.38, 2 Hg 2.59
Ge: 0.2546 0.4915 0.6173  3 P 2.37-2.38, 1 As 2.47
Ge: 0.5085 0.7454 0.3827  3 P 2.37-2.38, 1 As 2.47

space group: No. 5
electronic total energy: -3.798 eV per atom